Record 1
VASP calculation (GGA-PBE) on crystalline HfInCo2 at its relaxed geometry.

Calculated values
Total DFT energy (no corrections), eV per atom: -6.9101

Cell: 4.354 4.354 7.657 Å, 90.00 90.00 120.00°
Fractional coordinates of all 8 atoms:
Co: 0.667 0.333 0.400
Co: 0.667 0.333 0.100
Co: 0.333 0.667 0.900
Co: 0.333 0.667 0.600
In: 0.333 0.667 0.250
In: 0.667 0.333 0.750
Hf: 0.000 0.000 0.000
Hf: 0.000 0.000 0.500



Record 2
VASP calculation (GGA-PBE) on crystalline ScTlZnSe3 at its relaxed geometry.

Calculated values
Total DFT energy (no corrections), eV per atom: -4.4415

Cell: 8.265 3.976 10.424 Å, 90.00 111.23 90.00°
Fractional coordinates of all 12 atoms:
Zn: 0.421 0.750 0.388
Zn: 0.579 0.250 0.612
Tl: 0.236 0.750 0.719
Tl: 0.764 0.250 0.281
Se: 0.733 0.750 0.565
Se: 0.046 0.250 0.864
Se: 0.417 0.750 0.153
Se: 0.954 0.750 0.136
Se: 0.267 0.250 0.435
Se: 0.583 0.250 0.847
Sc: 0.182 0.250 0.137
Sc: 0.818 0.750 0.863



Record 3
VASP calculation (GGA-PBE) on crystalline SrBeFe at its relaxed geometry.

Calculated values
Energy above the lowest structure with this stoichiometry, kJ/mol of atoms: 10.4

Cell: 4.563 4.563 4.563 Å, 60.00 60.00 60.00°
Fractional coordinates of all 3 atoms:
Be: 0.250 0.250 0.250
Sr: 0.750 0.750 0.750
Fe: 0.000 0.000 0.000



Record 4
VASP calculation (GGA-PBE) on crystalline La2AlInNi2 at its relaxed geometry.

Calculated values
Total DFT energy (no corrections), eV per atom: -5.0940

Cell: 6.199 6.199 5.154 Å, 99.90 99.90 41.75°
Fractional coordinates of all 6 atoms:
Ni: 0.197 0.197 0.860
Ni: 0.786 0.786 0.124
In: 0.413 0.413 0.188
La: 0.130 0.130 0.323
La: 0.878 0.878 0.684
Al: 0.596 0.596 0.821



Record 5
VASP calculation (GGA-PBE) on crystalline KTePt at its relaxed geometry.

Calculated values
Total DFT energy (no corrections), eV per atom: -2.7628

Cell: 5.054 5.054 5.054 Å, 60.00 60.00 60.00°
Fractional coordinates of all 3 atoms:
Te: 0.750 0.750 0.750
Pt: 0.250 0.250 0.250
K: 0.000 0.000 0.000



Record 6
VASP calculation (GGA-PBE) on crystalline NdZn4Ir2 at its relaxed geometry.

Calculated values
Total DFT energy (no corrections), eV per atom: -4.3252

Cell: 7.712 7.712 4.097 Å, 90.00 90.00 90.00°
Fractional coordinates of all 14 atoms:
Zn: 0.348 0.908 0.500
Zn: 0.908 0.348 0.500
Zn: 0.092 0.652 0.500
Zn: 0.408 0.152 0.000
Zn: 0.652 0.092 0.500
Zn: 0.848 0.592 0.000
Zn: 0.592 0.848 0.000
Zn: 0.152 0.408 0.000
Ir: 0.212 0.212 0.500
Ir: 0.712 0.288 0.000
Ir: 0.288 0.712 0.000
Ir: 0.788 0.788 0.500
Nd: 0.500 0.500 0.500
Nd: 0.000 0.000 0.000